Below is a geometry-optimized In2Br2F structure, with properties calculated at the PBE level.

The structure in POSCAR format:
```
In2Br2F
1.0
-6.502 -0.351 -2.853
2.609 -3.681 -5.494
-0.827 -4.165 2.397
Br In F
4 4 2
direct
0.196 0.696 0.500 Br
0.696 0.804 0.500 Br
0.304 0.196 0.500 Br
0.804 0.304 0.500 Br
0.658 0.158 0.000 In
0.158 0.342 0.000 In
0.342 0.842 0.000 In
0.842 0.658 0.000 In
0.000 0.000 0.000 F
0.500 0.500 0.000 F
```


Below is a geometry-optimized InBrF2 structure, with properties calculated at the PBE level.

The structure in POSCAR format:
```
InBrF2
1.0
-2.275 3.093 3.258
-1.515 -3.966 2.708
3.643 -0.118 6.548
Br F In
2 4 2
direct
0.250 0.750 0.500 Br
0.500 0.500 0.000 Br
0.874 0.625 0.250 F
0.876 0.125 0.250 F
0.875 0.126 0.750 F
0.375 0.124 0.750 F
0.000 0.000 0.000 In
0.750 0.250 0.500 In
```


Below is a geometry-optimized In4Br3F structure, with properties calculated at the PBE level.

The structure in POSCAR format:
```
In4Br3F
1.0
6.535 0.000 0.000
0.000 8.041 0.000
0.000 0.000 10.850
Br In F
6 8 2
direct
0.630 0.342 0.705 Br
0.130 0.658 0.205 Br
0.129 0.081 0.500 Br
0.630 0.342 0.295 Br
0.629 0.919 0.000 Br
0.130 0.658 0.795 Br
0.109 0.912 0.000 In
0.564 0.721 0.687 In
0.064 0.279 0.813 In
0.064 0.279 0.187 In
0.564 0.721 0.313 In
0.021 0.723 0.500 In
0.609 0.088 0.500 In
0.521 0.277 0.000 In
0.870 0.326 0.000 F
0.370 0.674 0.500 F
```


Below is a geometry-optimized InBrF2 structure, with properties calculated at the PBE level.

The structure in POSCAR format:
```
InBrF2
1.0
0.000 3.146 3.146
3.146 0.000 3.146
3.146 3.146 0.000
In Br F
1 1 2
direct
0.500 0.500 0.500 In
0.000 0.000 0.000 Br
0.250 0.250 0.250 F
0.750 0.750 0.750 F
```


Result set for volume: 246.4, 167.2, 570.2, 62.3 Å³/cell, one per record in the order listed.
Result set for energy: -30.39, -27.95, -49.92, -11.89 eV per cell, one per record in the order listed.
Result set for energy relative to the elements, uncorrected: -0.90, -1.46, -0.89, -0.94 eV/atom, one per record in the order listed.